1.
This record from Alexandria via LeMat-Bulk describes a relaxed ScZnW2 crystal. The functional is PBE-GGA.

Cell and atoms, written as CIF:
```
data_ScZnW2
_chemical_formula_sum 'Sc1 Zn1 W2'
_symmetry_space_group_name_H-M 'P m m m'
_symmetry_Int_Tables_number 47
_cell_length_a 2.7362
_cell_length_b 4.5761
_cell_length_c 5.4613
_cell_angle_alpha 90.00
_cell_angle_beta 90.00
_cell_angle_gamma 90.00
loop_
_symmetry_equiv_pos_as_xyz
'x,y,z'
'-x,-y,-z'
'-x,-y,z'
'x,y,-z'
'x,-y,-z'
'-x,y,z'
'-x,y,-z'
'x,-y,z'
loop_
_atom_site_label
_atom_site_fract_x
_atom_site_fract_y
_atom_site_fract_z
Sc1 0.0000 0.0000 0.0000
Zn1 0.0000 0.0000 0.5000
W1 0.5000 0.5000 0.2441
```

Computed properties:
Calculated total energy: -8.024 eV/atom
DFT formation energy: 0.3538 eV per atom

***

2.
This record from Alexandria via LeMat-Bulk describes a relaxed ScZn3W crystal. The functional is PBE-GGA.

Cell and atoms, written as CIF:
```
data_ScZn3W
_chemical_formula_sum 'Sc1 Zn3 W1'
_symmetry_space_group_name_H-M 'P m -3 m'
_symmetry_Int_Tables_number 221
_symmetry_space_group_name_Hall '-P 4 2 3'
_cell_length_a 4.8044
_cell_length_b 4.8044
_cell_length_c 4.8044
_cell_angle_alpha 90.00
_cell_angle_beta 90.00
_cell_angle_gamma 90.00
loop_
_atom_site_label
_atom_site_fract_x
_atom_site_fract_y
_atom_site_fract_z
Sc1 0.0000 0.0000 0.0000
Zn1 0.0000 0.5000 0.5000
W1 0.5000 0.5000 0.5000
```

Computed properties:
Calculated total energy: -3.813 eV/atom
E above lowest polymorph: 0.000 eV per atom
DFT formation energy: 0.8081 eV per atom

***

3.
This record from Alexandria via LeMat-Bulk describes a relaxed ScZnW2 crystal. The functional is PBE-GGA.

Cell and atoms, written as CIF:
```
data_ScZnW2
_chemical_formula_sum 'Sc1 Zn1 W2'
_symmetry_space_group_name_H-M 'P 4/m m m'
_symmetry_Int_Tables_number 123
_symmetry_space_group_name_Hall '-P 4 2'
_cell_length_a 3.3627
_cell_length_b 3.3627
_cell_length_c 6.1118
_cell_angle_alpha 90.00
_cell_angle_beta 90.00
_cell_angle_gamma 90.00
loop_
_atom_site_label
_atom_site_fract_x
_atom_site_fract_y
_atom_site_fract_z
Sc1 0.0000 0.0000 0.0000
Zn1 0.0000 0.0000 0.5000
W1 0.5000 0.5000 0.3008
```

Computed properties:
Calculated total energy: -7.984 eV/atom
DFT formation energy: 0.3941 eV per atom

***

4.
This record from Alexandria via LeMat-Bulk describes a relaxed ScZn2W crystal. The functional is PBE-GGA.

Cell and atoms, written as CIF:
```
data_ScZn2W
_chemical_formula_sum 'Sc1 Zn2 W1'
_symmetry_space_group_name_H-M 'P 4/m m m'
_symmetry_Int_Tables_number 123
_symmetry_space_group_name_Hall '-P 4 2'
_cell_length_a 4.0931
_cell_length_b 4.0931
_cell_length_c 3.8773
_cell_angle_alpha 90.00
_cell_angle_beta 90.00
_cell_angle_gamma 90.00
loop_
_atom_site_label
_atom_site_fract_x
_atom_site_fract_y
_atom_site_fract_z
Sc1 0.0000 0.0000 0.0000
Zn1 0.0000 0.5000 0.5000
W1 0.5000 0.5000 0.0000
```

Computed properties:
Calculated total energy: -5.374 eV/atom
E above lowest polymorph: 0.035 eV per atom
DFT formation energy: 0.0841 eV per atom